NaSr2Br: relaxed, PBE.

As for the distance to the lowest polymorph of the same formula: 0 meV/atom. As for the uncorrected formation energy: -0.673 eV per atom. The total DFT energy (no corrections) is -2.2622 eV per atom. Its density of states at the Fermi level is 2.240 states/eV/f.u.

The space group is R3m (No. 160, hexagonal axes) and the conventional cell measures 4.2021, 4.2021 and 32.9557 Å, with angles of 90.00, 90.00 and 120.00 degrees. The distinct sites, in fractional coordinates, are Na at (0.0000, 0.0000, 0.0000), Sr at (0.0000, 0.0000, 0.5721), Sr at (0.0000, 0.0000, 0.7620) and Br at (0.0000, 0.0000, 0.1675).

***

Na3SrBr: relaxed, PBE.

As for the distance to the lowest polymorph of the same formula: 0 meV/atom. As for the uncorrected formation energy: -0.376 eV per atom. The total DFT energy (no corrections) is -1.8382 eV per atom. Its density of states at the Fermi level is 3.999 states/eV/f.u.

The space group is Pm-3m (No. 221) and the conventional cell measures 5.952, 5.952 and 5.952 Å, with angles of 90.00, 90.00 and 90.00 degrees. The distinct sites, in fractional coordinates, are Na at (0.000, 0.000, 0.500), Sr at (0.500, 0.500, 0.500) and Br at (0.000, 0.000, 0.000).

***

NaSrBr: relaxed, PBE.

As for the distance to the lowest polymorph of the same formula: 0 meV/atom. As for the uncorrected formation energy: -0.963 eV per atom. The total DFT energy (no corrections) is -2.5209 eV per atom. Its density of states at the Fermi level is 1.282 states/eV/f.u.

The space group is Cmcm (No. 63) and the conventional cell measures 4.372, 16.578 and 6.216 Å, with angles of 90.00, 90.00 and 90.00 degrees. The distinct sites, in fractional coordinates, are Na at (0.000, 0.047, 0.250), Sr at (0.000, 0.355, 0.250) and Br at (0.000, 0.291, 0.750).

***

NaSr2Br2: relaxed, PBE.

As for the distance to the lowest polymorph of the same formula: 202 meV/atom. As for the uncorrected formation energy: -0.963 eV per atom. The total DFT energy (no corrections) is -2.5687 eV per atom. Its density of states at the Fermi level is 2.121 states/eV/f.u.

The space group is I4/mmm (No. 139) and the conventional cell measures 6.242, 6.242 and 10.362 Å, with angles of 90.00, 90.00 and 90.00 degrees. The distinct sites, in fractional coordinates, are Na at (0.000, 0.000, 0.000), Sr at (0.000, 0.500, 0.250) and Br at (0.000, 0.000, 0.314).

***

NaSr2Br: relaxed, PBE.

As for the distance to the lowest polymorph of the same formula: 89 meV/atom. As for the uncorrected formation energy: -0.584 eV per atom. The total DFT energy (no corrections) is -2.1729 eV per atom. Its density of states at the Fermi level is 3.151 states/eV/f.u.

The space group is R-3m (No. 166, hexagonal axes) and the conventional cell measures 4.0917, 4.0917 and 37.1385 Å, with angles of 90.00, 90.00 and 120.00 degrees. The distinct sites, in fractional coordinates, are Na at (0.0000, 0.0000, 0.0000), Sr at (0.0000, 0.0000, 0.1024) and Br at (0.0000, 0.0000, 0.5000).

***

NaSrBr: relaxed, PBE.

As for the distance to the lowest polymorph of the same formula: 3 meV/atom. As for the uncorrected formation energy: -0.960 eV per atom. The total DFT energy (no corrections) is -2.5184 eV per atom. Its density of states at the Fermi level is 1.362 states/eV/f.u.

The space group is P2_1/m (No. 11) and the conventional cell measures 7.086, 4.365 and 7.667 Å, with angles of 90.00, 90.95 and 90.00 degrees. The distinct sites, in fractional coordinates, are Na at (0.076, 0.250, 0.326), Sr at (0.442, 0.250, 0.726) and Br at (0.255, 0.750, 0.968).

***

Na3Sr5Br12: relaxed, PBE.

As for the uncorrected formation energy: -1.756 eV per atom. The total DFT energy (no corrections) is -3.3783 eV per atom. Its density of states at the Fermi level is 1.149 states/eV/f.u.

The space group is Ia-3d (No. 230) and the conventional cell measures 18.618, 18.618 and 18.618 Å, with angles of 90.00, 90.00 and 90.00 degrees. The distinct sites, in fractional coordinates, are Na at (0.000, 0.250, 0.125), Sr at (0.000, 0.000, 0.000), Sr at (0.000, 0.250, 0.375) and Br at (0.025, 0.069, 0.649).

***

NaSr2Br2: relaxed, PBE.

As for the distance to the lowest polymorph of the same formula: 0 meV/atom. As for the uncorrected formation energy: -1.165 eV per atom. The total DFT energy (no corrections) is -2.7709 eV per atom. Its density of states at the Fermi level is 2.520 states/eV/f.u.

The space group is I4/mmm (No. 139) and the conventional cell measures 5.244, 5.244 and 15.246 Å, with angles of 90.00, 90.00 and 90.00 degrees. The distinct sites, in fractional coordinates, are Na at (0.000, 0.000, 0.000), Sr at (0.000, 0.000, 0.366) and Br at (0.000, 0.500, 0.250).

***

NaSr2Br6: relaxed, PBE.

As for the uncorrected formation energy: -1.639 eV per atom. The total DFT energy (no corrections) is -3.2742 eV per atom. Its density of states at the Fermi level is 7.102 states/eV/f.u.

The space group is P2_1/c (No. 14) and the conventional cell measures 7.405, 7.966 and 11.800 Å, with angles of 90.00, 121.16 and 90.00 degrees. The distinct sites, in fractional coordinates, are Na at (0.000, 0.000, 0.000), Sr at (0.316, 0.126, 0.773), Br at (0.092, 0.039, 0.267), Br at (0.249, 0.669, 0.070) and Br at (0.389, 0.170, 0.069).

***

NaSr2TaBr: relaxed, PBE.

As for the uncorrected formation energy: 0.530 eV per atom. The total DFT energy (no corrections) is -3.1112 eV per atom. Its density of states at the Fermi level is 4.518 states/eV/f.u.

The space group is P4/mmm (No. 123) and the conventional cell measures 6.417, 6.417 and 4.987 Å, with angles of 90.00, 90.00 and 90.00 degrees. The distinct sites, in fractional coordinates, are Na at (0.000, 0.000, 0.000), Sr at (0.000, 0.500, 0.500), Ta at (0.500, 0.500, 0.500) and Br at (0.500, 0.500, 0.000).

***

NaSr2TiBr: relaxed, PBE.

As for the uncorrected formation energy: 0.164 eV per atom. The total DFT energy (no corrections) is -2.6859 eV per atom. Its density of states at the Fermi level is 5.029 states/eV/f.u.

The space group is P4/mmm (No. 123) and the conventional cell measures 6.696, 6.696 and 4.972 Å, with angles of 90.00, 90.00 and 90.00 degrees. The distinct sites, in fractional coordinates, are Na at (0.000, 0.000, 0.000), Sr at (0.000, 0.500, 0.500), Ti at (0.500, 0.500, 0.500) and Br at (0.500, 0.500, 0.000).

***

NaSrTlBr4: relaxed, PBE.

As for the uncorrected formation energy: -1.581 eV per atom. The total DFT energy (no corrections) is -3.3034 eV per atom. Its density of states at the Fermi level is 0.000 states/eV/f.u.

The space group is Imma (No. 74) and the conventional cell measures 9.132, 9.329 and 13.248 Å, with angles of 90.00, 90.00 and 90.00 degrees. The distinct sites, in fractional coordinates, are Na at (0.250, 0.250, 0.250), Sr at (0.000, 0.000, 0.000), Tl at (0.000, 0.250, 0.640), Br at (0.000, 0.035, 0.229) and Br at (0.223, 0.250, 0.011).

***

NaSrTl2Br5: relaxed, PBE.

As for the uncorrected formation energy: -1.421 eV per atom. The total DFT energy (no corrections) is -3.2093 eV per atom. Its density of states at the Fermi level is 0.000 states/eV/f.u.

The space group is Cmc2_1 (No. 36) and the conventional cell measures 4.573, 19.134 and 14.958 Å, with angles of 90.00, 90.00 and 90.00 degrees. The distinct sites, in fractional coordinates, are Na at (0.000, 0.039, 0.000), Sr at (0.000, 0.277, 0.575), Tl at (0.000, 0.371, 0.848), Tl at (0.000, 0.414, 0.211), Br at (0.000, 0.006, 0.320), Br at (0.000, 0.120, 0.543), Br at (0.000, 0.196, 0.943), Br at (0.000, 0.232, 0.215) and Br at (0.000, 0.434, 0.608).

***

NaSrTl2Br: relaxed, PBE.

As for the uncorrected formation energy: -0.193 eV per atom. The total DFT energy (no corrections) is -2.0738 eV per atom. Its density of states at the Fermi level is 4.966 states/eV/f.u.

The space group is P4/mmm (No. 123) and the conventional cell measures 6.608, 6.608 and 5.783 Å, with angles of 90.00, 90.00 and 90.00 degrees. The distinct sites, in fractional coordinates, are Na at (0.000, 0.000, 0.000), Sr at (0.500, 0.500, 0.500), Tl at (0.000, 0.500, 0.500) and Br at (0.500, 0.500, 0.000).

***

NaSrTmBr6: relaxed, PBE.

As for the uncorrected formation energy: -1.877 eV per atom. The total DFT energy (no corrections) is -3.8225 eV per atom. Its density of states at the Fermi level is 0.000 states/eV/f.u.

The space group is P-31c (No. 163) and the conventional cell measures 7.5040, 7.5040 and 13.1217 Å, with angles of 90.00, 90.00 and 120.00 degrees. The distinct sites, in fractional coordinates, are Na at (0.0000, 0.0000, 0.0000), Sr at (0.3333, 0.6667, 0.2500), Tm at (0.3333, 0.6667, 0.7500) and Br at (0.0295, 0.3638, 0.6282).

***

Na2SrUBr8: relaxed, PBE.

As for the uncorrected formation energy: -1.566 eV per atom. The total DFT energy (no corrections) is -3.9817 eV per atom. Its density of states at the Fermi level is 6.341 states/eV/f.u.

The space group is P2/m (No. 10) and the conventional cell measures 6.926, 9.023 and 7.127 Å, with angles of 90.00, 93.38 and 90.00 degrees. The distinct sites, in fractional coordinates, are Na at (0.000, 0.237, 0.000), Sr at (0.500, 0.000, 0.500), U at (0.500, 0.500, 0.500), Br at (0.224, 0.000, 0.169), Br at (0.236, 0.500, 0.190) and Br at (0.285, 0.276, 0.663).

***

NaSrYBr6: relaxed, PBE.

As for the uncorrected formation energy: -1.883 eV per atom. The total DFT energy (no corrections) is -4.0495 eV per atom. Its density of states at the Fermi level is 0.000 states/eV/f.u.

The space group is P-31c (No. 163) and the conventional cell measures 7.5449, 7.5449 and 13.1590 Å, with angles of 90.00, 90.00 and 120.00 degrees. The distinct sites, in fractional coordinates, are Na at (0.0000, 0.0000, 0.0000), Sr at (0.3333, 0.6667, 0.2500), Y at (0.3333, 0.6667, 0.7500) and Br at (0.0254, 0.3606, 0.6275).

***

NaSr2YBr: relaxed, PBE.

As for the uncorrected formation energy: 0.311 eV per atom. The total DFT energy (no corrections) is -2.2525 eV per atom. Its density of states at the Fermi level is 5.315 states/eV/f.u.

The space group is P4/mmm (No. 123) and the conventional cell measures 6.543, 6.543 and 5.801 Å, with angles of 90.00, 90.00 and 90.00 degrees. The distinct sites, in fractional coordinates, are Na at (0.000, 0.000, 0.000), Sr at (0.000, 0.500, 0.000), Y at (0.000, 0.000, 0.500) and Br at (0.500, 0.500, 0.500).

***

Na2SrZnBr6: relaxed, PBE.

As for the uncorrected formation energy: -1.451 eV per atom. The total DFT energy (no corrections) is -3.0143 eV per atom. Its density of states at the Fermi level is 0.000 states/eV/f.u.

The space group is R3 (No. 146, hexagonal axes) and the conventional cell measures 7.3681, 7.3681 and 19.6973 Å, with angles of 90.00, 90.00 and 120.00 degrees. The distinct sites, in fractional coordinates, are Na at (0.0000, 0.0000, 0.0000), Na at (0.0000, 0.0000, 0.4951), Sr at (0.0000, 0.0000, 0.1986), Zn at (0.0000, 0.0000, 0.6948), Br at (0.0137, 0.3754, 0.4314) and Br at (0.0487, 0.6715, 0.2745).

***

NaTa2Br8: relaxed, PBE.

As for the uncorrected formation energy: -0.745 eV per atom. The total DFT energy (no corrections) is -4.2370 eV per atom. Its density of states at the Fermi level is 12.285 states/eV/f.u.

The space group is C2/m (No. 12) and the conventional cell measures 13.583, 10.384 and 7.084 Å, with angles of 90.00, 97.59 and 90.00 degrees. The distinct sites, in fractional coordinates, are Na at (0.000, 0.000, 0.000), Ta at (0.203, 0.000, 0.659), Br at (0.111, 0.183, 0.778), Br at (0.124, 0.500, 0.204) and Br at (0.190, 0.000, 0.309).